(1)
The following is a GGA-PBE calculation of crystalline TaTe2Ru at its relaxed geometry, from the Alexandria database.

Geometry as extended XYZ:
```
4
Lattice="4.2871 -1.6491 0.0000 4.2871 1.6491 0.0000 -1.3093 0.0000 5.6172" Properties=species:S:1:pos:R:3 pbc="T T T"
Ta 0.0000 0.0000 0.0000
Te 1.1497 0.0000 4.1977
Te 6.1152 0.0000 1.4195
Ru 3.6325 0.0000 2.8086
```

ΔE_f (raw)   1.384 eV/f.u.
Calculated total energy   -26.0 eV/cell
Space group   C2/m, No. 12

***

(2)
The following is a GGA-PBE calculation of crystalline Ta2TeRu at its relaxed geometry, from the Alexandria database.

Geometry as extended XYZ:
```
8
Lattice="-1.9766 1.9766 9.8795 1.9766 -1.9766 9.8795 1.9766 1.9766 -9.8795" Properties=species:S:1:pos:R:3 pbc="T T T"
Ta 2.9650 0.9877 -2.4699
Ta 0.9877 0.9883 2.4699
Ta -0.9883 0.9890 7.4096
Ta 0.9890 0.9883 12.3494
Te 0.0000 0.0000 0.0000
Te 0.0000 1.9766 4.9397
Ru 1.9766 0.0000 4.9397
Ru 0.0000 0.0000 9.8795
```

ΔE_f (raw)   2.109 eV/f.u.
Calculated total energy   -68.0 eV/cell
Space group   I-42d, No. 122

***

(3)
The following is a GGA-PBE calculation of crystalline Ta2TeRu at its relaxed geometry, from the Alexandria database.

Geometry as extended XYZ:
```
4
Lattice="4.7286 0.0000 0.0000 0.0000 4.7286 0.0000 0.0000 0.0000 3.2092" Properties=species:S:1:pos:R:3 pbc="T T T"
Ta 0.0000 2.3643 0.0000
Ta 2.3643 0.0000 0.0000
Te 0.0000 0.0000 1.6046
Ru 2.3643 2.3643 1.6046
```

ΔE_f (raw)   1.048 eV/f.u.
Calculated total energy   -35.1 eV/cell
Space group   P4/mmm, No. 123

***

(4)
The following is a GGA-PBE calculation of crystalline TaTe2Ru at its relaxed geometry, from the Alexandria database.

Geometry as extended XYZ:
```
4
Lattice="4.7382 0.0000 0.0000 0.0000 4.7382 0.0000 0.0000 0.0000 3.3808" Properties=species:S:1:pos:R:3 pbc="T T T"
Ta 0.0000 0.0000 0.0000
Te 0.0000 2.3691 1.6904
Te 2.3691 0.0000 1.6904
Ru 2.3691 2.3691 0.0000
```

ΔE_f (raw)   0.894 eV/f.u.
Calculated total energy   -26.5 eV/cell
Space group   P4/mmm, No. 123

***

(5)
The following is a GGA-PBE calculation of crystalline TaTe2Ru at its relaxed geometry, from the Alexandria database.

Geometry as extended XYZ:
```
4
Lattice="0.0000 3.3698 3.3698 3.3698 0.0000 3.3698 3.3698 3.3698 0.0000" Properties=species:S:1:pos:R:3 pbc="T T T"
Ta 0.0000 0.0000 0.0000
Te 1.6849 1.6849 1.6849
Te 5.0547 5.0547 5.0547
Ru 3.3698 3.3698 3.3698
```

ΔE_f (raw)   0.957 eV/f.u.
Calculated total energy   -26.5 eV/cell
Space group   Fm-3m, No. 225

***

(6)
The following is a GGA-PBE calculation of crystalline TaTe2Ru at its relaxed geometry, from the Alexandria database.

Geometry as extended XYZ:
```
4
Lattice="3.1756 -4.4368 0.0000 3.1756 4.4368 0.0000 -1.4966 0.0000 2.8888" Properties=species:S:1:pos:R:3 pbc="T T T"
Ta 0.0000 0.0000 0.0000
Te 0.8395 2.2184 1.4444
Te 0.8395 -2.2184 1.4444
Ru 3.1756 0.0000 0.0000
```

ΔE_f (raw)   2.466 eV/f.u.
Calculated total energy   -24.9 eV/cell
Space group   C2/m, No. 12

***

(7)
The following is a GGA-PBE calculation of crystalline Ta2TeRu at its relaxed geometry, from the Alexandria database.

Geometry as extended XYZ:
```
4
Lattice="-1.7488 2.1891 4.5885 1.7488 -2.1891 4.5885 1.7488 2.1891 -4.5885" Properties=species:S:1:pos:R:3 pbc="T T T"
Ta 0.0000 0.0000 2.2545
Ta 0.0000 0.0000 6.9225
Te 0.0000 2.1891 0.0000
Ru 1.7488 0.0000 0.0000
```

ΔE_f (raw)   0.303 eV/f.u.
Calculated total energy   -35.8 eV/cell
Space group   Immm, No. 71

***

(8)
The following is a GGA-PBE calculation of crystalline Ta4TeRu at its relaxed geometry, from the Alexandria database.

Geometry as extended XYZ:
```
6
Lattice="0.0000 3.8597 3.8597 3.8597 0.0000 3.8597 3.8597 3.8597 0.0000" Properties=species:S:1:pos:R:3 pbc="T T T"
Ta 0.9659 0.9659 0.9659
Ta 2.8938 2.8938 0.9659
Ta 2.8938 0.9659 2.8938
Ta 0.9659 2.8938 2.8938
Te 5.7895 5.7895 5.7895
Ru 3.8597 3.8597 3.8597
```

ΔE_f (raw)   3.218 eV/f.u.
Calculated total energy   -56.6 eV/cell
Space group   F-43m, No. 216

***

N(E_F) values (in states/eV per cell) by entry order: 4.97, 6.86, 5.50, 4.00, 2.17, 3.96, 2.22, 5.54.
Ρ values (in Mg/m³) by entry order: 11.23, 12.70, 13.67, 11.75, 11.66, 10.96, 13.96, 13.75.